# 1
! Sr8In4Pd3N5 PBE optimized geometry; values from VASP
&SYSTEM
  ibrav = 0, nat = 20, ntyp = 4
/
ATOMIC_SPECIES
Sr 87.62 Sr.upf
In 114.82 In.upf
Pd 106.42 Pd.upf
N 14.01 N.upf
CELL_PARAMETERS angstrom
-4.0078 3.3515 10.4398
5.7667 9.4181 3.7854
-7.4218 -6.7235 -5.9997
ATOMIC_POSITIONS crystal
Sr 0.1393 0.2849 0.8544
Sr 0.2528 0.1017 0.1511
Sr 0.5696 0.7151 0.8544
Sr 0.8607 0.7151 0.1456
Sr 0.9506 0.1017 0.8489
Sr 0.4304 0.2849 0.1456
Sr 0.0494 0.8983 0.1511
Sr 0.7472 0.8983 0.8489
In 0.3610 0.5000 0.8610
In 0.5874 0.0874 0.5000
In 0.6390 0.5000 0.1390
In 0.4126 0.9126 0.5000
Pd 0.1903 0.6903 0.5000
Pd 0.8097 0.3097 0.5000
Pd 0.0000 0.5000 0.5000
N 0.0293 0.6928 0.3366
N 0.6438 0.3072 0.3366
N 0.3562 0.6928 0.6634
N 0.0000 0.0000 0.0000
N 0.9707 0.3072 0.6634
! Calculated density (g/cm³): 5.5
! E (eV per atom): -4.60
! V (Å³ per cell): 471.22



# 2
! Pm3InN PBE optimized geometry; values from VASP
&SYSTEM
  ibrav = 0, nat = 5, ntyp = 3
/
ATOMIC_SPECIES
N 14.01 N.upf
In 114.82 In.upf
Pm 145.00 Pm.upf
CELL_PARAMETERS angstrom
-1.5859 -4.3644 -1.8032
4.4567 -0.7544 -2.0937
1.5613 -2.2798 4.1449
ATOMIC_POSITIONS crystal
N 0.0000 0.0000 0.0000
In 0.5000 0.5000 0.5000
Pm 0.5000 0.0000 0.0000
Pm 0.0000 0.5000 0.0000
Pm 0.0000 0.0000 0.5000
! Calculated density (g/cm³): 7.6
! E (eV per atom): -5.96
! V (Å³ per cell): 123.61